# ZrZn2Hg, relaxed, DFT GGA-PBE
# - magnetic moment (μB/cell) = 0.00
# - formation energy from the elements (eV per formula unit) = -0.170
# - total energy (eV for the cell shown) = -11.6
data_ZrZn2Hg
_chemical_formula_sum 'Zr1 Zn2 Hg1'
_cell_length_a 5.142
_cell_length_b 5.142
_cell_length_c 5.142
_cell_angle_alpha 131.40
_cell_angle_beta 131.40
_cell_angle_gamma 71.18
_space_group_name_H-M_alt 'P 1'
_space_group_IT_number 1
_space_group_name_Hall 'P 1'
loop_
_atom_site_label
_atom_site_type_symbol
_atom_site_fract_x
_atom_site_fract_y
_atom_site_fract_z
Zr1 Zr 0.000 0.000 0.000
Zn1 Zn 0.250 0.750 0.500
Zn2 Zn 0.500 0.500 0.000
Hg1 Hg 0.750 0.250 0.500


# PmMgZnCd, relaxed, DFT GGA-PBE
# - magnetic moment (μB/cell) = 0.00
# - formation energy from the elements (eV per formula unit) = -1.265
# - total energy (eV for the cell shown) = -9.8
data_PmMgZnCd
_chemical_formula_sum 'Pm1 Mg1 Zn1 Cd1'
_cell_length_a 5.046
_cell_length_b 5.046
_cell_length_c 5.046
_cell_angle_alpha 60.00
_cell_angle_beta 60.00
_cell_angle_gamma 60.00
_space_group_name_H-M_alt 'P 1'
_space_group_IT_number 1
_space_group_name_Hall 'P 1'
loop_
_atom_site_label
_atom_site_type_symbol
_atom_site_fract_x
_atom_site_fract_y
_atom_site_fract_z
Pm1 Pm 0.000 0.000 0.000
Mg1 Mg 0.500 0.500 0.500
Zn1 Zn 0.250 0.250 0.250
Cd1 Cd 0.750 0.750 0.750


# ScCoMo2, relaxed, DFT GGA-PBE
# - magnetic moment (μB/cell) = 0.54
# - formation energy from the elements (eV per formula unit) = 1.527
# - total energy (eV for the cell shown) = -33.6
data_ScCoMo2
_chemical_formula_sum 'Sc1 Co1 Mo2'
_cell_length_a 9.192
_cell_length_b 9.192
_cell_length_c 9.192
_cell_angle_alpha 17.83
_cell_angle_beta 17.83
_cell_angle_gamma 17.83
_space_group_name_H-M_alt 'P 1'
_space_group_IT_number 1
_space_group_name_Hall 'P 1'
loop_
_atom_site_label
_atom_site_type_symbol
_atom_site_fract_x
_atom_site_fract_y
_atom_site_fract_z
Sc1 Sc 0.000 0.000 0.000
Co1 Co 0.500 0.500 0.500
Mo1 Mo 0.241 0.241 0.241
Mo2 Mo 0.759 0.759 0.759


# Mn2PBr, relaxed, DFT GGA-PBE
# - magnetic moment (μB/cell) = 6.66
# - formation energy from raw total energies (eV/atom) = 0.11
# - total energy (eV for the cell shown) = -25.0
data_Mn2PBr
_chemical_formula_sum 'Mn2 P1 Br1'
_cell_length_a 3.145
_cell_length_b 3.145
_cell_length_c 6.687
_cell_angle_alpha 90.00
_cell_angle_beta 90.00
_cell_angle_gamma 90.00
_space_group_name_H-M_alt 'P 1'
_space_group_IT_number 1
_space_group_name_Hall 'P 1'
loop_
_atom_site_label
_atom_site_type_symbol
_atom_site_fract_x
_atom_site_fract_y
_atom_site_fract_z
Mn1 Mn 0.000 0.000 0.190
Mn2 Mn 0.000 0.000 0.810
P1 P 0.500 0.500 0.000
Br1 Br 0.500 0.500 0.500


# Sr8In2Hg, relaxed, DFT GGA-PBE
# - magnetic moment (μB/cell) = 0.00
# - formation energy from the elements (eV per formula unit) = -3.127
# - total energy (eV for the cell shown) = -22.4
data_Sr8In2Hg
_chemical_formula_sum 'Sr8 In2 Hg1'
_cell_length_a 10.665
_cell_length_b 10.665
_cell_length_c 8.076
_cell_angle_alpha 108.26
_cell_angle_beta 108.26
_cell_angle_gamma 31.45
_space_group_name_H-M_alt 'P 1'
_space_group_IT_number 1
_space_group_name_Hall 'P 1'
loop_
_atom_site_label
_atom_site_type_symbol
_atom_site_fract_x
_atom_site_fract_y
_atom_site_fract_z
Sr1 Sr 0.029 0.029 0.289
Sr2 Sr 0.204 0.204 0.805
Sr3 Sr 0.335 0.335 0.542
Sr4 Sr 0.403 0.403 0.055
Sr5 Sr 0.597 0.597 0.945
Sr6 Sr 0.665 0.665 0.458
Sr7 Sr 0.796 0.796 0.195
Sr8 Sr 0.971 0.971 0.711
In1 In 0.182 0.182 0.202
In2 In 0.818 0.818 0.798
Hg1 Hg 0.500 0.500 0.500


# Sc2CuGe, relaxed, DFT GGA-PBE
# - magnetic moment (μB/cell) = 0.00
# - formation energy from the elements (eV per formula unit) = -2.297
# - total energy (eV for the cell shown) = -47.3
data_Sc2CuGe
_chemical_formula_sum 'Sc4 Cu2 Ge2'
_cell_length_a 5.496
_cell_length_b 4.045
_cell_length_c 7.125
_cell_angle_alpha 90.00
_cell_angle_beta 109.35
_cell_angle_gamma 90.00
_space_group_name_H-M_alt 'P 1'
_space_group_IT_number 1
_space_group_name_Hall 'P 1'
loop_
_atom_site_label
_atom_site_type_symbol
_atom_site_fract_x
_atom_site_fract_y
_atom_site_fract_z
Sc1 Sc 0.203 0.250 0.417
Sc2 Sc 0.208 0.250 0.934
Sc3 Sc 0.792 0.750 0.066
Sc4 Sc 0.797 0.750 0.583
Cu1 Cu 0.351 0.750 0.213
Cu2 Cu 0.649 0.250 0.787
Ge1 Ge 0.342 0.750 0.710
Ge2 Ge 0.658 0.250 0.290


total energy of number 4 (Mn2PBr)? -25.0 eV for the cell shown


Look up the magnetic moment of the fifth one. 0.00 μB/cell


What did the fourth record say?
# Mn2PBr, relaxed, DFT GGA-PBE
# - magnetic moment (μB/cell) = 6.66
# - formation energy from raw total energies (eV/atom) = 0.11
# - total energy (eV for the cell shown) = -25.0
data_Mn2PBr
_chemical_formula_sum 'Mn2 P1 Br1'
_cell_length_a 3.145
_cell_length_b 3.145
_cell_length_c 6.687
_cell_angle_alpha 90.00
_cell_angle_beta 90.00
_cell_angle_gamma 90.00
_space_group_name_H-M_alt 'P 1'
_space_group_IT_number 1
_space_group_name_Hall 'P 1'
loop_
_atom_site_label
_atom_site_type_symbol
_atom_site_fract_x
_atom_site_fract_y
_atom_site_fract_z
Mn1 Mn 0.000 0.000 0.190
Mn2 Mn 0.000 0.000 0.810
P1 P 0.500 0.500 0.000
Br1 Br 0.500 0.500 0.500


Which of these has the highest magnetic moment? Mn2PBr